Entry 1:
Entry from Alexandria: crystalline LaNd2Y2 at its relaxed geometry (PBE-GGA).

Lattice parameters (Å, degrees): 6.0920 6.0917 6.5366 117.77 117.77 90.00
With the nearest neighbours (Å) after each atom.
Fractional positions:
Nd (0.7502, 0.2502, 0.5003)  4 Y 3.20
Nd (0.2498, 0.7498, 0.4997)  4 Y 3.20
Y (0.6497, 0.6497, 0.2994)  1 Y 2.94, 4 Nd 3.20
Y (0.3503, 0.3503, 0.7006)  1 Y 2.94, 4 Nd 3.20
La (0.0000, 0.0000, 0.0000)  2 Y 3.44

Computed properties:
As for the energy above the most stable polymorph in this dataset: 250 meV/atom. The space group is No. 139. The value obtained for the formation energy is 0.4767 eV/atom.

---

Entry 2:
Entry from Alexandria: crystalline LaNd2Y12 at its relaxed geometry (PBE-GGA).

Lattice parameters (Å, degrees): 6.7511 6.7511 25.1989 90.00 90.00 116.58
With the nearest neighbours (Å) after each atom.
Fractional positions:
Y (0.7501, 0.7499, 0.0801)  2 La 3.51, 8 Y 3.52-3.60
Y (0.7499, 0.7501, 0.5615)  7 Y 3.10-3.43
Y (0.2499, 0.2501, 0.4385)  7 Y 3.10-3.43
Y (0.5000, 0.5000, 0.6717)  5 Y 3.22-3.55
Y (0.7501, 0.7499, 0.4385)  7 Y 3.10-3.43
Y (0.2499, 0.2501, 0.0801)  2 La 3.51, 8 Y 3.52-3.60
Y (0.5000, 0.5000, 0.7994)  7 Y 3.22-3.55
Y (0.2500, 0.7500, 0.1301)  8 Y 3.38-3.60, 2 La 3.73
Y (0.7499, 0.2499, 0.4152)  8 Y 3.43-3.61
Y (0.0000, 0.0000, 0.7994)  7 Y 3.22-3.55
Y (0.2501, 0.2499, 0.5615)  7 Y 3.10-3.43
Y (0.2499, 0.7499, 0.5848)  8 Y 3.43-3.61
Y (0.7500, 0.2500, 0.1301)  8 Y 3.38-3.60, 2 La 3.73
Y (0.2501, 0.2499, 0.9199)  2 La 3.51, 8 Y 3.52-3.60
Y (0.0000, 0.0000, 0.2006)  7 Y 3.22-3.55
Y (0.2501, 0.7501, 0.4152)  8 Y 3.43-3.61
Y (0.5000, 0.5000, 0.2006)  7 Y 3.22-3.55
Y (0.5000, 0.5000, 0.3283)  5 Y 3.22-3.55
Y (0.0000, 0.0000, 0.6717)  5 Y 3.22-3.55
Y (0.7499, 0.7501, 0.9199)  2 La 3.51, 8 Y 3.52-3.60
Y (0.7500, 0.2500, 0.8699)  8 Y 3.38-3.60, 2 La 3.73
Y (0.0000, 0.0000, 0.3283)  5 Y 3.22-3.55
Y (0.2500, 0.7500, 0.8699)  8 Y 3.38-3.60, 2 La 3.73
Y (0.7501, 0.2501, 0.5848)  8 Y 3.43-3.61
La (0.5000, 0.0000, 0.0001)  8 Y 3.51-3.73, 2 La 3.55
La (0.0000, 0.5000, 0.9999)  8 Y 3.51-3.73, 2 La 3.55
Nd (0.5000, 0.0000, 0.2691)  2 Nd 3.55, 10 Y 3.69-3.93
Nd (0.0000, 0.5000, 0.2692)  2 Nd 3.55, 10 Y 3.69-3.93
Nd (0.0000, 0.5000, 0.7309)  2 Nd 3.55, 10 Y 3.69-3.93
Nd (0.5000, 0.0000, 0.7308)  2 Nd 3.55, 10 Y 3.69-3.93

Computed properties:
The space group is No. 47. The value obtained for the formation energy is 0.1683 eV/atom.

---

Entry 3:
Entry from Alexandria: crystalline La2NdY2 at its relaxed geometry (PBE-GGA).

Lattice parameters (Å, degrees): 6.6734 6.6734 12.0351 95.06 95.06 133.01
With the nearest neighbours (Å) after each atom.
Fractional positions:
Nd (0.5000, 0.5000, 0.0000)  4 La 3.38, 4 Y 3.38
Nd (0.7500, 0.2500, 0.5000)  4 La 3.38, 4 Y 3.38
Y (0.4209, 0.5791, 0.5000)  2 Y 3.29, 2 Nd 3.38, 2 La 3.59
Y (0.1709, 0.8291, 0.0000)  2 Y 3.29, 2 Nd 3.38, 2 La 3.59
Y (0.0791, 0.9209, 0.5000)  2 Y 3.29, 2 Nd 3.38, 2 La 3.59
Y (0.8291, 0.1709, 0.0000)  2 Y 3.29, 2 Nd 3.38, 2 La 3.59
La (0.1250, 0.3750, 0.7500)  2 La 3.34, 2 Nd 3.38, 2 Y 3.59
La (0.6250, 0.3750, 0.2500)  2 La 3.34, 2 Nd 3.38, 2 Y 3.59
La (0.6250, 0.3750, 0.7500)  2 La 3.34, 2 Nd 3.38, 2 Y 3.59
La (0.6250, 0.8750, 0.2500)  2 La 3.34, 2 Nd 3.38, 2 Y 3.59

Computed properties:
As for the energy above the most stable polymorph in this dataset: 203 meV/atom. The space group is No. 70. The value obtained for the formation energy is 0.4190 eV/atom.

---

Entry 4:
Entry from Alexandria: crystalline La2NdY3 at its relaxed geometry (PBE-GGA).

Lattice parameters (Å, degrees): 9.1702 6.7930 6.7930 95.33 82.38 82.38
With the nearest neighbours (Å) after each atom.
Fractional positions:
Y (0.0005, 0.1655, 0.3315)  2 Nd 3.35-3.54, 3 Y 3.35-3.55
Y (0.5005, 0.3315, 0.1655)  2 Nd 3.35-3.54, 3 Y 3.35-3.55
Y (0.9995, 0.8345, 0.6685)  2 Nd 3.35-3.54, 3 Y 3.35-3.55
Y (0.4995, 0.6685, 0.8345)  2 Nd 3.35-3.54, 3 Y 3.35-3.55
Y (0.7500, 0.5829, 0.4171)  1 Nd 3.34, 4 Y 3.36-3.55
Y (0.2500, 0.4171, 0.5829)  1 Nd 3.34, 4 Y 3.36-3.55
La (0.3736, 0.8717, 0.3748)  2 La 3.50-3.59, 9 Y 3.76-3.81, 3 Nd 3.78-3.81
La (0.8736, 0.3748, 0.8717)  2 La 3.50-3.59, 9 Y 3.76-3.81, 3 Nd 3.78-3.81
La (0.1264, 0.6252, 0.1283)  2 La 3.50-3.59, 9 Y 3.76-3.81, 3 Nd 3.78-3.81
La (0.6264, 0.1283, 0.6252)  2 La 3.50-3.59, 9 Y 3.76-3.81, 3 Nd 3.78-3.81
Nd (0.2500, 0.0849, 0.9151)  5 Y 3.34-3.54
Nd (0.7500, 0.9151, 0.0849)  5 Y 3.34-3.54

Computed properties:
The space group is No. 15. The value obtained for the formation energy is 0.0587 eV/atom.

---

Entry 5:
Entry from Alexandria: crystalline La2Nd3Y4 at its relaxed geometry (PBE-GGA).

Lattice parameters (Å, degrees): 4.7985 6.2504 12.6948 68.00 79.11 67.43
With the nearest neighbours (Å) after each atom.
Fractional positions:
Y (0.7150, 0.6673, 0.9028)  4 Y 3.46-3.50, 7 Nd 3.53-3.78
Y (0.8626, 0.9919, 0.2830)  2 Y 3.46, 4 Nd 3.46-3.54, 3 La 3.48-3.64
Y (0.2850, 0.3327, 0.0972)  4 Y 3.46-3.50, 7 Nd 3.53-3.78
Y (0.1374, 0.0081, 0.7170)  2 Y 3.46, 4 Nd 3.46-3.54, 3 La 3.48-3.64
La (0.1530, 0.2720, 0.4221)  3 Y 3.48-3.64, 2 Nd 3.67, 1 La 3.76
La (0.8470, 0.7280, 0.5779)  3 Y 3.48-3.64, 2 Nd 3.67, 1 La 3.76
Nd (0.5755, 0.6390, 0.2100)  7 Y 3.46-3.78, 2 Nd 3.65, 2 La 3.67
Nd (0.0000, 0.0000, 0.0000)  8 Y 3.51-3.63, 4 Nd 3.65
Nd (0.4245, 0.3610, 0.7900)  7 Y 3.46-3.78, 2 Nd 3.65, 2 La 3.67

Computed properties:
The space group is No. 12. The value obtained for the formation energy is 0.1882 eV/atom.

---

Entry 6:
Entry from Alexandria: crystalline La3NdY4 at its relaxed geometry (PBE-GGA).

Lattice parameters (Å, degrees): 6.4046 7.3805 11.7317 90.00 90.00 90.00
With the nearest neighbours (Å) after each atom.
Fractional positions:
La (0.4768, 0.3766, 0.7499)  4 La 3.60-3.68, 2 Nd 3.60-3.65, 6 Y 3.65-3.74
La (0.1515, 0.3733, 0.5000)  4 La 3.60-3.64, 6 Y 3.65-3.72, 2 Nd 3.71-3.72
La (0.4768, 0.3766, 0.2501)  4 La 3.60-3.68, 2 Nd 3.60-3.65, 6 Y 3.65-3.74
La (0.6515, 0.6267, 0.0000)  4 La 3.60-3.64, 6 Y 3.65-3.72, 2 Nd 3.71-3.72
La (0.9768, 0.6234, 0.7501)  4 La 3.60-3.68, 2 Nd 3.60-3.65, 6 Y 3.65-3.74
La (0.9768, 0.6234, 0.2499)  4 La 3.60-3.68, 2 Nd 3.60-3.65, 6 Y 3.65-3.74
Y (0.6490, 0.1231, 0.0000)  6 Y 3.61-3.68, 4 La 3.65-3.72, 2 Nd 3.68-3.70
Y (0.4814, 0.8789, 0.2507)  6 Y 3.59-3.67, 1 Nd 3.63, 5 La 3.65-3.74
Y (0.4814, 0.8789, 0.7493)  6 Y 3.59-3.67, 1 Nd 3.63, 5 La 3.65-3.74
Y (0.9814, 0.1211, 0.2493)  6 Y 3.59-3.67, 1 Nd 3.63, 5 La 3.65-3.74
Y (0.9814, 0.1211, 0.7507)  6 Y 3.59-3.67, 1 Nd 3.63, 5 La 3.65-3.74
Y (0.1490, 0.8769, 0.5000)  6 Y 3.61-3.68, 4 La 3.65-3.72, 2 Nd 3.68-3.70
Y (0.6481, 0.1215, 0.5000)  6 Y 3.59-3.68, 2 Nd 3.64-3.74, 4 La 3.65-3.72
Y (0.1481, 0.8785, 0.0000)  6 Y 3.59-3.68, 2 Nd 3.64-3.74, 4 La 3.65-3.72
Nd (0.6503, 0.6285, 0.5000)  6 La 3.60-3.72, 6 Y 3.63-3.74
Nd (0.1503, 0.3715, 0.0000)  6 La 3.60-3.72, 6 Y 3.63-3.74

Computed properties:
As for the energy above the most stable polymorph in this dataset: 0 meV/atom. The space group is No. 31. The value obtained for the formation energy is 0.0272 eV/atom.